[1]
18
Lattice="5.808 -0.020 -0.014 2.851 5.060 -0.014 2.851 1.660 4.780" Properties=species:S:1:pos:R:3 comment="Pu2MnNi3H12 | Alexandria | PBE | relaxed" dos_ef_per_ev_fu=20.61 energy_ev_per_atom=-5.437 vol_a3_per_fu=141.0 spacegroup="No. 166" pbc="T T T"
Pu 7.058 4.108 2.914
Pu 4.453 2.592 1.838
Mn 0.000 0.000 0.000
Ni 2.904 -0.010 -0.007
Ni 1.426 2.530 -0.007
Ni 1.426 0.830 2.390
H 5.302 3.086 4.173
H 8.772 5.106 1.744
H 7.231 5.981 4.242
H 6.930 2.161 1.533
H 8.772 3.334 4.242
H 5.302 4.959 1.533
H 6.208 3.614 0.579
H 2.738 1.594 3.008
H 4.279 0.719 0.510
H 4.580 4.539 3.219
H 2.738 3.366 0.510
H 6.208 1.741 3.219


[2]
12
Lattice="4.421 0.000 0.000 2.210 3.828 0.000 2.210 1.276 5.351" Properties=species:S:1:pos:R:3 comment="PuMnNi2H8 | Alexandria | PBE | relaxed" dos_ef_per_ev_fu=12.66 energy_ev_per_atom=-5.235 vol_a3_per_fu=90.6 spacegroup="No. 148" pbc="T T T"
Pu 4.421 2.552 2.676
Mn 0.000 0.000 0.000
Ni 2.210 1.276 0.675
Ni 6.631 3.828 4.676
H 2.210 1.276 2.301
H 3.861 1.336 0.858
H 6.631 3.828 3.051
H 5.754 2.676 0.858
H 3.087 2.429 4.493
H 3.647 3.645 0.858
H 5.194 1.459 4.493
H 4.980 3.769 4.493


[3]
5
Lattice="-1.560 2.740 1.871 -0.688 -2.289 2.779 3.335 0.855 1.530" Properties=species:S:1:pos:R:3 comment="Mn2ReNiH | Alexandria | PBE | relaxed" dos_ef_per_ev_fu=4.83 energy_ev_per_atom=-7.879 vol_a3_per_fu=50.6 e_above_lowest_polymorph_mev_per_atom=79 spacegroup="No. 123" pbc="T T T"
Re 1.668 0.427 0.765
Mn -0.344 -1.145 1.390
Mn -0.780 1.370 0.935
H 0.000 0.000 0.000
Ni 0.543 0.652 3.090